The following is a DFT calculation (PBE-GGA) of YTlPb2C after structural relaxation.

Cell: 5.7504 5.8832 5.7504 Å, 90.00 90.00 90.00°
Closest atoms and distances in Å follow each position.
Positions (direct):
Pb 0.0000 0.0000 0.5000  2 Tl 2.88
Pb 0.5000 0.0000 0.0000  2 Tl 2.88
Y 0.0000 0.5000 0.0000  2 Tl 2.94
Tl 0.0000 0.0000 0.0000  4 Pb 2.88, 2 Y 2.94
C 0.5000 0.5000 0.5000  4 Y 4.07, 8 Pb 4.11

## Properties
**Spin magnetization**: 1.5 μB/f.u.
**Final energy**: -16.3 eV/cell
**Energy of formation from the pure elements**: 9.15 eV/f.u.
**Space-group type**: P4/mmm, No. 123

The following is a DFT calculation (PBE-GGA) of MgPBr2 after structural relaxation.

Cell: 8.2290 8.2290 8.2290 Å, 152.33 154.17 38.21°
Closest atoms and distances in Å follow each position.
Positions (direct):
Br 0.8923 0.8923 0.0000  2 P 2.88, 2 Mg 2.96
Br 0.6077 0.6077 0.0000  2 P 2.88, 2 Mg 2.96
Mg 0.7500 0.2500 0.5000  4 P 2.69, 4 Br 2.96
P 0.2500 0.7500 0.5000  4 Mg 2.69, 4 Br 2.88

## Properties
**Energy relative to the elements, uncorrected**: -0.231 eV/atom
**Spin magnetization**: 0.7 μB/f.u.
**Final energy**: -11.3 eV/cell
**ΔE to the lowest computed polymorph**: 0.306 eV per atom
**Space-group type**: Immm, No. 71

The following is a DFT calculation (PBE-GGA) of CeAl2PtAu2 after structural relaxation.

Cell: 4.7979 4.7979 5.6840 Å, 90.00 90.00 90.00°
Closest atoms and distances in Å follow each position.
Positions (direct):
Ce 0.0000 0.0000 0.5000  2 Pt 2.84
Al 0.5000 0.0000 0.0000  2 Pt 2.40
Al 0.0000 0.5000 0.0000  2 Pt 2.40
Pt 0.0000 0.0000 0.0000  4 Al 2.40
Au 0.5000 0.5000 0.7383  2 Au 2.71-2.98, 4 Al 2.82
Au 0.5000 0.5000 0.2617  2 Au 2.71-2.98, 4 Al 2.82

## Properties
**Spin magnetization**: 1.1 μB/f.u.
**Final energy**: -29.3 eV/cell
**Energy of formation from the pure elements**: -3.27 eV/f.u.
**Space-group type**: P4/mmm, No. 123

The following is a DFT calculation (PBE-GGA) of NbAlV6 after structural relaxation.

Cell: 5.2099 5.1340 5.1340 Å, 118.11 97.14 97.14°
Closest atoms and distances in Å follow each position.
Positions (direct):
Nb 0.0000 0.0000 0.0000  2 Al 2.60, 6 V 2.62-2.72
Al 0.5000 0.0000 0.0000  2 Nb 2.60, 6 V 2.67-2.75
V 0.7545 0.0141 0.5093  6 V 2.52-2.64, 1 Nb 2.72, 1 Al 2.75
V 0.7545 0.5093 0.0141  6 V 2.52-2.64, 1 Nb 2.72, 1 Al 2.75
V 0.2455 0.4907 0.9859  6 V 2.52-2.64, 1 Nb 2.72, 1 Al 2.75
V 0.2455 0.9859 0.4907  6 V 2.52-2.64, 1 Nb 2.72, 1 Al 2.75
V 0.7564 0.5029 0.5029  6 V 2.52-2.66, 1 Nb 2.62, 1 Al 2.67
V 0.2436 0.4971 0.4971  6 V 2.52-2.66, 1 Nb 2.62, 1 Al 2.67

## Properties
**Spin magnetization**: 0.0 μB/f.u.
**Final energy**: -67.4 eV/cell
**Energy of formation from the pure elements**: 1.09 eV/f.u.
**Space-group type**: C2/m, No. 12

> Which value of spin magnetization does entry 2 give?

0.7 μB/f.u.

> Among the records above, which one has the lowest spin magnetization?

NbAlV6

> Among the records above, which one has the highest final energy?

MgPBr2